VASP calculation (PBE-GGA) on a relaxed Cs12Sr3I5 crystal.

```
Cs12Sr3I5
1.0
-12.366 12.366 12.366
12.366 -12.366 12.366
12.366 12.366 -12.366
Cs Sr I
48 12 20
Cartesian
3.603 -0.765 1.381
14.945 7.564 -6.948
15.969 0.765 1.381
14.945 -4.802 6.948
11.601 -1.381 3.603
19.313 -2.580 4.802
1.381 3.603 -0.765
17.168 5.418 -2.580
7.564 6.948 -2.580
10.985 3.603 0.765
-0.765 1.381 3.603
6.948 -2.580 7.564
11.601 10.985 -3.603
6.948 2.580 4.802
7.564 -6.948 14.945
10.985 -3.603 11.601
4.802 6.948 2.580
13.746 8.762 0.765
6.948 14.945 -4.802
11.601 1.381 8.762
3.603 11.601 -1.381
14.945 4.802 5.418
2.580 4.802 6.948
3.603 0.765 10.985
8.762 11.601 1.381
9.786 7.564 5.418
-2.580 7.564 6.948
8.762 0.765 13.746
0.765 10.985 3.603
5.418 -2.580 17.168
-1.381 3.603 11.601
7.564 5.418 9.786
1.381 15.969 0.765
4.802 19.313 -2.580
5.418 9.786 7.564
0.765 1.381 15.969
5.418 14.945 4.802
13.130 10.985 8.762
1.381 8.762 11.601
4.802 5.418 14.945
-4.802 6.948 14.945
10.985 8.762 13.130
-6.948 14.945 7.564
0.765 13.746 8.762
-2.580 17.168 5.418
-3.603 11.601 10.985
-2.580 4.802 19.313
8.762 13.130 10.985
6.183 3.091 0.000
12.366 6.183 -3.091
3.091 0.000 6.183
15.457 0.000 6.183
0.000 6.183 3.091
6.183 -3.091 12.366
6.183 15.457 0.000
12.366 6.183 9.274
-3.091 12.366 6.183
9.274 12.366 6.183
0.000 6.183 15.457
6.183 9.274 12.366
0.000 0.000 0.000
6.183 6.183 -6.183
6.183 -6.183 6.183
12.366 0.000 0.000
18.549 3.091 0.000
12.366 -6.183 9.274
9.274 12.366 -6.183
9.274 0.000 6.183
6.183 9.274 0.000
12.366 6.183 3.091
-6.183 6.183 6.183
0.000 12.366 0.000
0.000 0.000 12.366
6.183 6.183 6.183
0.000 6.183 9.274
6.183 3.091 12.366
3.091 12.366 6.183
3.091 0.000 18.549
0.000 18.549 3.091
-6.183 9.274 12.366
```

Values from the calculation:
SG: No. 230
E_form (uncorrected), kJ/mol of formula units: -1071



VASP calculation (PBE-GGA) on a relaxed K2BeHg crystal.

```
K2BeHg
1.0
2.186 1.262 9.842
-2.186 1.262 9.842
0.000 -2.524 9.842
K Be Hg
2 1 1
Cartesian
0.000 0.000 7.165
0.000 0.000 22.362
0.000 0.000 14.763
0.000 0.000 0.000
```

Values from the calculation:
SG: No. 166
Polymorph energy (0 for the lowest one), eV/atom: 0.3804



VASP calculation (PBE-GGA) on a relaxed PdBr3F crystal.

```
PdBr3F
1.0
4.914 0.000 0.000
0.000 4.914 0.000
0.000 0.000 4.914
Pd Br F
1 3 1
Cartesian
0.000 0.000 0.000
0.000 2.457 2.457
2.457 0.000 2.457
2.457 2.457 0.000
2.457 2.457 2.457
```

Values from the calculation:
SG: No. 221
Polymorph energy (0 for the lowest one), eV/atom: 1.0165
E_form (uncorrected), kJ/mol of formula units: 291



VASP calculation (PBE-GGA) on a relaxed Dy7Er2 crystal.

```
Dy7Er2
1.0
9.614 0.000 0.000
-4.807 8.326 0.000
0.000 0.000 3.510
Dy Er
7 2
Cartesian
0.000 0.000 0.000
-1.744 3.021 0.000
-3.348 5.800 1.755
1.459 2.527 1.755
3.488 0.000 0.000
3.063 5.305 0.000
6.697 0.000 1.755
0.000 5.551 1.755
4.807 2.775 1.755
```

Values from the calculation:
SG: No. 189
Polymorph energy (0 for the lowest one), eV/atom: 0.0185



VASP calculation (PBE-GGA) on a relaxed Re2SbSe crystal.

```
Re2SbSe
1.0
4.364 -1.592 0.000
4.364 1.592 0.000
-1.068 0.000 6.463
Re Sb Se
2 1 1
Cartesian
0.000 0.000 0.000
6.209 0.000 0.723
1.389 0.000 4.912
3.613 0.000 1.953
```

Values from the calculation:
SG: No. 8
Polymorph energy (0 for the lowest one), eV/atom: 0.2827
E_form (uncorrected), kJ/mol of formula units: 180



VASP calculation (PBE-GGA) on a relaxed KVNi2 crystal.

```
KVNi2
1.0
-3.569 3.569 3.221
3.569 -3.569 3.221
3.569 3.569 -3.221
K V Ni
2 2 4
Cartesian
0.000 0.000 0.000
0.000 3.569 1.610
3.569 0.000 1.610
0.000 0.000 3.221
1.784 -1.187 2.416
2.382 1.784 0.805
1.784 4.756 -0.805
1.187 1.784 4.026
```

Values from the calculation:
SG: No. 122
Polymorph energy (0 for the lowest one), eV/atom: 0.0000